No. 1
## InGaPb (PBE-GGA)

Data for an optimized crystal structure of InGaPb.

Cell lengths 5.0387, 5.9082, 6.6119 Å; angles 115.40, 90.00, 115.25 degrees
Closest atoms and distances in Å follow each position.
Atoms (fractional coordinates):
In (0.5324, 0.0645, 0.7793)  3 Ga 3.07-3.08, 2 In 3.30-3.42, 1 Pb 3.37
In (0.4676, 0.9355, 0.2207)  3 Ga 3.07-3.08, 2 In 3.30-3.42, 1 Pb 3.37
Ga (0.8511, 0.7027, 0.9228)  1 Ga 2.84, 3 In 3.07-3.08
Ga (0.1489, 0.2973, 0.0772)  1 Ga 2.84, 3 In 3.07-3.08
Pb (0.8199, 0.6397, 0.3994)  4 Ga 3.25-3.32, 5 In 3.37-3.52, 3 Pb 3.43-3.50
Pb (0.1801, 0.3603, 0.6006)  4 Ga 3.25-3.32, 5 In 3.37-3.52, 3 Pb 3.43-3.50

Results
Electronic total energy (eV per atom): -3.12
Polymorph energy (0 for the lowest one) (meV/atom): 14.2
Formation energy (eV/atom): 0.0419



No. 2
## In2GaPb2 (PBE-GGA)

Data for an optimized crystal structure of In2GaPb2.

Cell lengths 8.7025, 8.7025, 3.9308 Å; angles 90.00, 90.00, 90.00 degrees
Closest atoms and distances in Å follow each position.
Atoms (fractional coordinates):
Pb (0.3529, 0.8529, 0.0000)  6 In 3.16-3.26, 2 Ga 3.33
Pb (0.8529, 0.6471, 0.0000)  6 In 3.16-3.26, 2 Ga 3.33
Pb (0.6471, 0.1471, 0.0000)  6 In 3.16-3.26, 2 Ga 3.33
Pb (0.1471, 0.3529, 0.0000)  6 In 3.16-3.26, 2 Ga 3.33
Ga (0.0000, 0.0000, 0.0000)  4 Pb 3.33
Ga (0.5000, 0.5000, 0.0000)  4 Pb 3.33
In (0.1521, 0.6521, 0.5000)  6 Pb 3.16-3.26
In (0.6521, 0.8479, 0.5000)  6 Pb 3.16-3.26
In (0.8479, 0.3479, 0.5000)  6 Pb 3.16-3.26
In (0.3479, 0.1521, 0.5000)  6 Pb 3.16-3.26

Results
Electronic total energy (eV per atom): -3.01
Polymorph energy (0 for the lowest one) (meV/atom): 131.6
Formation energy (eV/atom): 0.1728



No. 3
## In3Ga3Pb (PBE-GGA)

Data for an optimized crystal structure of In3Ga3Pb.

Cell lengths 7.2457, 7.2457, 7.2457 Å; angles 76.25, 76.25, 76.25 degrees
Closest atoms and distances in Å follow each position.
Atoms (fractional coordinates):
In (0.7295, 0.6402, 0.0496)  4 Ga 2.97-3.27
In (0.0496, 0.7295, 0.6402)  4 Ga 2.97-3.27
In (0.6402, 0.0496, 0.7295)  4 Ga 2.97-3.27
In (0.3598, 0.9504, 0.2705)  4 Ga 2.97-3.27
In (0.9504, 0.2705, 0.3598)  4 Ga 2.97-3.27
In (0.2705, 0.3598, 0.9504)  4 Ga 2.97-3.27
Ga (0.6682, 0.2324, 0.0453)  2 Ga 2.63
Ga (0.2324, 0.0453, 0.6682)  2 Ga 2.63
Ga (0.0453, 0.6682, 0.2324)  2 Ga 2.63
Ga (0.9547, 0.3318, 0.7676)  2 Ga 2.63
Ga (0.7676, 0.9547, 0.3318)  2 Ga 2.63
Ga (0.3318, 0.7676, 0.9547)  2 Ga 2.63
Pb (0.3931, 0.3931, 0.3931)  3 Ga 3.10, 1 Pb 3.26
Pb (0.6069, 0.6069, 0.6069)  3 Ga 3.10, 1 Pb 3.26

Results
Electronic total energy (eV per atom): -2.95
Polymorph energy (0 for the lowest one) (meV/atom): 0.0
Formation energy (eV/atom): 0.0526



No. 4
## In12GaPb3 (PBE-GGA)

Data for an optimized crystal structure of In12GaPb3.

Cell lengths 5.1399, 5.1399, 16.7974 Å; angles 90.00, 90.00, 90.00 degrees
Closest atoms and distances in Å follow each position.
Atoms (fractional coordinates):
In (0.5000, 0.5000, 0.0000)  8 In 3.20
In (0.5000, 0.5000, 0.2440)  8 In 3.35-3.38, 4 Pb 3.63
In (0.5000, 0.5000, 0.5000)  8 In 3.35, 4 Pb 3.63
In (0.5000, 0.5000, 0.7560)  8 In 3.35-3.38, 4 Pb 3.63
In (0.5000, 0.0000, 0.1130)  4 In 3.20-3.38, 2 Ga 3.20, 2 Pb 3.35
In (0.5000, 0.0000, 0.3717)  8 In 3.35-3.63, 4 Pb 3.35-3.38
In (0.5000, 0.0000, 0.6283)  8 In 3.35-3.63, 4 Pb 3.35-3.38
In (0.5000, 0.0000, 0.8870)  2 Ga 3.20, 4 In 3.20-3.38, 2 Pb 3.35
In (0.0000, 0.5000, 0.1130)  4 In 3.20-3.38, 2 Ga 3.20, 2 Pb 3.35
In (0.0000, 0.5000, 0.3717)  8 In 3.35-3.63, 4 Pb 3.35-3.38
In (0.0000, 0.5000, 0.6283)  8 In 3.35-3.63, 4 Pb 3.35-3.38
In (0.0000, 0.5000, 0.8870)  2 Ga 3.20, 4 In 3.20-3.38, 2 Pb 3.35
Ga (0.0000, 0.0000, 0.0000)  8 In 3.20
Pb (0.0000, 0.0000, 0.2407)  12 In 3.35-3.63
Pb (0.0000, 0.0000, 0.5000)  12 In 3.35-3.63
Pb (0.0000, 0.0000, 0.7593)  12 In 3.35-3.63

Results
Electronic total energy (eV per atom): -2.92
Formation energy (eV/atom): 0.0223



No. 5
## In6Ga3Pb (PBE-GGA)

Data for an optimized crystal structure of In6Ga3Pb.

Cell lengths 8.8656, 6.6301, 8.8656 Å; angles 90.00, 99.48, 90.00 degrees
Closest atoms and distances in Å follow each position.
Atoms (fractional coordinates):
In (0.2536, 0.8466, 0.2978)  4 Ga 2.96-3.09
In (0.2978, 0.3466, 0.2536)  4 Ga 2.96-3.09
In (0.4326, 0.6774, 0.0211)  2 Ga 2.96-3.06, 1 In 3.17
In (0.0211, 0.1774, 0.4326)  2 Ga 2.96-3.06, 1 In 3.17
In (0.9290, 0.0068, 0.0710)  4 Ga 3.04-3.30, 1 Pb 3.28, 4 In 3.37-3.40
In (0.6925, 0.3573, 0.3075)  4 Ga 3.00-3.17, 2 In 3.17, 1 Pb 3.26
In (0.3075, 0.8573, 0.6925)  4 Ga 3.00-3.17, 2 In 3.17, 1 Pb 3.26
In (0.0710, 0.5068, 0.9290)  4 Ga 3.04-3.30, 1 Pb 3.28, 4 In 3.37-3.40
In (0.9789, 0.6774, 0.5674)  2 Ga 2.96-3.06, 1 In 3.17
In (0.5674, 0.1774, 0.9789)  2 Ga 2.96-3.06, 1 In 3.17
In (0.7022, 0.8466, 0.7464)  4 Ga 2.96-3.09
In (0.7464, 0.3466, 0.7022)  4 Ga 2.96-3.09
Ga (0.9892, 0.5676, 0.2454)  1 Ga 2.69, 2 In 2.96
Ga (0.2454, 0.0676, 0.9892)  1 Ga 2.69, 2 In 2.96
Ga (0.5057, 0.6016, 0.4943)  6 In 3.00-3.17, 2 Pb 3.12-3.15, 2 Ga 3.32
Ga (0.4943, 0.1016, 0.5057)  6 In 3.00-3.17, 2 Pb 3.12-3.15, 2 Ga 3.32
Ga (0.0108, 0.0676, 0.7546)  1 Ga 2.69, 2 In 2.96
Ga (0.7546, 0.5676, 0.0108)  1 Ga 2.69, 2 In 2.96
Pb (0.6967, 0.8657, 0.3033)  4 Ga 3.12-3.37, 5 In 3.26-3.37
Pb (0.3033, 0.3657, 0.6967)  4 Ga 3.12-3.37, 5 In 3.26-3.37

Results
Electronic total energy (eV per atom): -2.87
Formation energy (eV/atom): 0.0555



No. 6
## In5Ga2Pb12 (PBE-GGA)

Data for an optimized crystal structure of In5Ga2Pb12.

Cell lengths 6.0809, 10.1796, 10.1796 Å; angles 67.05, 80.55, 80.55 degrees
Closest atoms and distances in Å follow each position.
Atoms (fractional coordinates):
In (0.4248, 0.2058, 0.2058)  8 Pb 3.33-3.71, 3 In 3.41-3.59
In (0.8508, 0.3094, 0.3094)  7 Pb 3.32-3.65, 2 In 3.41-3.59
In (0.5000, 0.0000, 0.0000)  8 Pb 3.33-3.60, 2 In 3.43
In (0.1492, 0.6906, 0.6906)  7 Pb 3.32-3.65, 2 In 3.41-3.59
In (0.5752, 0.7942, 0.7942)  8 Pb 3.33-3.71, 3 In 3.41-3.59
Ga (0.0000, 0.2605, 0.7395)  8 Pb 3.02-3.37
Ga (0.0000, 0.7395, 0.2605)  8 Pb 3.02-3.37
Pb (0.0298, 0.9001, 0.9001)  5 In 3.33-3.60, 3 Pb 3.34-3.41, 2 Ga 3.37
Pb (0.2024, 0.5460, 0.0743)  1 Ga 3.22, 6 Pb 3.32-3.56, 2 In 3.33-3.41
Pb (0.2024, 0.0743, 0.5460)  1 Ga 3.22, 6 Pb 3.32-3.56, 2 In 3.33-3.41
Pb (0.6340, 0.6478, 0.1576)  1 Ga 3.02, 2 Pb 3.32-3.38, 2 In 3.32-3.33
Pb (0.6340, 0.1576, 0.6478)  1 Ga 3.02, 2 Pb 3.32-3.38, 2 In 3.32-3.33
Pb (0.2779, 0.4402, 0.4402)  2 Ga 3.23, 5 Pb 3.49-3.58
Pb (0.7221, 0.5598, 0.5598)  2 Ga 3.23, 5 Pb 3.49-3.58
Pb (0.3660, 0.3522, 0.8424)  1 Ga 3.02, 2 Pb 3.32-3.38, 2 In 3.32-3.33
Pb (0.3660, 0.8424, 0.3522)  1 Ga 3.02, 2 Pb 3.32-3.38, 2 In 3.32-3.33
Pb (0.7976, 0.4540, 0.9257)  1 Ga 3.22, 6 Pb 3.32-3.56, 2 In 3.33-3.41
Pb (0.7976, 0.9257, 0.4540)  1 Ga 3.22, 6 Pb 3.32-3.56, 2 In 3.33-3.41
Pb (0.9702, 0.0999, 0.0999)  5 In 3.33-3.60, 3 Pb 3.34-3.41, 2 Ga 3.37

Results
Electronic total energy (eV per atom): -3.32
Formation energy (eV/atom): 0.0638



No. 7
## In4GaPb2 (PBE-GGA)

Data for an optimized crystal structure of In4GaPb2.

Cell lengths 3.4294, 3.4294, 19.1000 Å; angles 84.85, 84.85, 60.00 degrees
Closest atoms and distances in Å follow each position.
Atoms (fractional coordinates):
Pb (0.5752, 0.5752, 0.2744)  6 Pb 3.43, 6 In 3.48-3.52
Pb (0.4248, 0.4248, 0.7256)  6 Pb 3.43, 6 In 3.48-3.52
Ga (0.0000, 0.0000, 0.0000)  6 In 3.07, 6 Ga 3.43
In (0.8575, 0.8575, 0.4274)  9 In 3.39-3.43, 3 Pb 3.52
In (0.7079, 0.7079, 0.8762)  3 Ga 3.07, 6 In 3.43
In (0.2921, 0.2921, 0.1238)  3 Ga 3.07, 6 In 3.43
In (0.1425, 0.1425, 0.5726)  9 In 3.39-3.43, 3 Pb 3.52

Results
Electronic total energy (eV per atom): -3.02
Polymorph energy (0 for the lowest one) (meV/atom): 0.0
Formation energy (eV/atom): 0.0384



No. 8
## InGaPt2Pb (PBE-GGA)

Data for an optimized crystal structure of InGaPt2Pb.

Cell lengths 5.1705, 5.6253, 5.1705 Å; angles 90.00, 90.00, 90.00 degrees
Closest atoms and distances in Å follow each position.
Atoms (fractional coordinates):
Pb (0.0000, 0.0000, 0.0000)  4 Pt 2.59, 2 In 2.81
Ga (0.5000, 0.5000, 0.5000)  4 In 3.66, 8 Pt 3.82
Pt (0.0000, 0.0000, 0.5000)  2 Pb 2.59
Pt (0.5000, 0.0000, 0.0000)  2 Pb 2.59
In (0.0000, 0.5000, 0.0000)  2 Pb 2.81

Results
Electronic total energy (eV per atom): -3.50
Polymorph energy (0 for the lowest one) (meV/atom): 291.5
Formation energy (eV/atom): 0.8095



No. 9
## InGaPt2Pb (PBE-GGA)

Data for an optimized crystal structure of InGaPt2Pb.

Cell lengths 5.0865, 4.9860, 5.0865 Å; angles 90.00, 90.00, 90.00 degrees
Closest atoms and distances in Å follow each position.
Atoms (fractional coordinates):
Pb (0.5000, 0.5000, 0.5000)  8 Pt 3.56, 4 Ga 3.60
Ga (0.0000, 0.5000, 0.0000)  2 In 2.49
Pt (0.0000, 0.0000, 0.5000)  2 In 2.54
Pt (0.5000, 0.0000, 0.0000)  2 In 2.54
In (0.0000, 0.0000, 0.0000)  2 Ga 2.49, 4 Pt 2.54

Results
Electronic total energy (eV per atom): -3.79
Polymorph energy (0 for the lowest one) (meV/atom): 0.0
Formation energy (eV/atom): 0.5180



No. 10
## Rb2In4GaPb3 (PBE-GGA)

Data for an optimized crystal structure of Rb2In4GaPb3.

Cell lengths 5.2365, 5.2365, 12.4886 Å; angles 90.00, 90.00, 90.00 degrees
Closest atoms and distances in Å follow each position.
Atoms (fractional coordinates):
Rb (0.5000, 0.0000, 0.2527)  6 Pb 3.98-4.05, 8 In 4.02-4.10, 2 Ga 4.05
Rb (0.0000, 0.5000, 0.7473)  6 Pb 3.98-4.05, 8 In 4.02-4.10, 2 Ga 4.05
In (0.5000, 0.5000, 0.0000)  4 Pb 3.12
In (0.0000, 0.0000, 0.0000)  4 Pb 3.12
In (0.5000, 0.0000, 0.6219)  2 Ga 3.03, 3 Pb 3.03
In (0.0000, 0.5000, 0.3781)  2 Ga 3.03, 3 Pb 3.03
Ga (0.5000, 0.5000, 0.5000)  4 In 3.03
Pb (0.0000, 0.0000, 0.5000)  4 In 3.03
Pb (0.5000, 0.0000, 0.8645)  5 In 3.03-3.12
Pb (0.0000, 0.5000, 0.1355)  5 In 3.03-3.12

Results
Electronic total energy (eV per atom): -2.79
Formation energy (eV/atom): -0.0816



No. 11
## RbIn2GaPb (PBE-GGA)

Data for an optimized crystal structure of RbIn2GaPb.

Cell lengths 5.0660, 5.0660, 7.2254 Å; angles 110.52, 110.52, 90.00 degrees
Closest atoms and distances in Å follow each position.
Atoms (fractional coordinates):
Rb (0.0000, 0.0000, 0.0000)  8 In 3.87, 4 Pb 4.03, 4 Ga 4.03
In (0.6174, 0.6174, 0.2348)  1 In 2.95, 2 Pb 3.03, 2 Ga 3.03
In (0.3826, 0.3826, 0.7652)  1 In 2.95, 2 Ga 3.03, 2 Pb 3.03
Ga (0.7500, 0.2500, 0.5000)  4 In 3.03
Pb (0.2500, 0.7500, 0.5000)  4 In 3.03

Results
Electronic total energy (eV per atom): -2.72
Formation energy (eV/atom): -0.0860



No. 12
## RbInGaPb2 (PBE-GGA)

Data for an optimized crystal structure of RbInGaPb2.

Cell lengths 4.9811, 4.9811, 7.7055 Å; angles 108.86, 108.86, 90.00 degrees
Closest atoms and distances in Å follow each position.
Atoms (fractional coordinates):
Rb (0.0000, 0.0000, 0.0000)  8 Pb 3.90, 4 Ga 4.24, 4 In 4.24
In (0.7500, 0.2500, 0.5000)  4 Pb 3.05
Ga (0.2500, 0.7500, 0.5000)  4 Pb 3.05
Pb (0.6218, 0.6218, 0.2437)  2 Ga 3.05, 2 In 3.05, 1 Pb 3.34
Pb (0.3782, 0.3782, 0.7563)  2 In 3.05, 2 Ga 3.05, 1 Pb 3.34

Results
Electronic total energy (eV per atom): -2.88
Formation energy (eV/atom): -0.0547